Compound: FeRe2As
Source: Alexandria
Functional: GGA-PBE
Structure: optimized geometry

a b c (Å): 9.0362 2.8842 4.4886
angles (deg): 90.00 96.61 90.00
With the nearest neighbours (Å) after each atom.
Element x y z (fractional)
Fe (0.0000, 0.0000, 0.0000)  6 Re 2.60-2.80, 4 As 2.67, 2 Fe 2.88
Fe (0.5000, 0.5000, 0.0000)  6 Re 2.60-2.80, 4 As 2.67, 2 Fe 2.88
Re (0.2244, 0.5000, 0.2293)  1 As 2.48, 2 Re 2.60, 2 Fe 2.60
Re (0.2756, 0.0000, 0.7707)  1 As 2.48, 2 Re 2.60, 2 Fe 2.60
Re (0.7244, 0.0000, 0.2293)  1 As 2.48, 2 Re 2.60, 2 Fe 2.60
Re (0.7756, 0.5000, 0.7707)  1 As 2.48, 2 Re 2.60, 2 Fe 2.60
As (0.0000, 0.5000, 0.5000)  2 Re 2.48, 4 Fe 2.67
As (0.5000, 0.0000, 0.5000)  2 Re 2.48, 4 Fe 2.67

---

Compound: FeRe2As
Source: Alexandria
Functional: GGA-PBE
Structure: optimized geometry

a b c (Å): 2.9798 4.3723 8.8613
angles (deg): 90.00 90.00 90.00
With the nearest neighbours (Å) after each atom.
Element x y z (fractional)
Fe (0.0000, 0.0000, 0.0000)  4 As 2.65, 8 Re 2.87-2.95
Fe (0.5000, 0.5000, 0.5000)  4 As 2.65, 8 Re 2.87-2.95
Re (0.0000, 0.5000, 0.2229)  2 As 2.47, 4 Re 2.69
Re (0.0000, 0.5000, 0.7771)  2 As 2.47, 4 Re 2.69
Re (0.5000, 0.0000, 0.2771)  2 As 2.47, 4 Re 2.69
Re (0.5000, 0.0000, 0.7229)  2 As 2.47, 4 Re 2.69
As (0.0000, 0.0000, 0.5000)  4 Re 2.47, 4 Fe 2.65
As (0.5000, 0.5000, 0.0000)  4 Re 2.47, 4 Fe 2.65

---

Compound: FeRe2As
Source: Alexandria
Functional: GGA-PBE
Structure: optimized geometry

a b c (Å): 2.9204 2.9204 6.5337
angles (deg): 90.00 90.00 90.00
With the nearest neighbours (Å) after each atom.
Element x y z (fractional)
Fe (0.0000, 0.0000, 0.0000)  4 As 2.46, 4 Re 2.69
Re (0.0000, 0.0000, 0.5266)  8 Re 2.68-2.92, 4 As 2.72
Re (0.5000, 0.5000, 0.2643)  8 Re 2.68-2.92, 4 Fe 2.69
As (0.5000, 0.5000, 0.7965)  4 Fe 2.46, 4 Re 2.72

---

Compound: Fe2ReAs
Source: Alexandria
Functional: GGA-PBE
Structure: optimized geometry

a b c (Å): 2.7717 4.1417 4.5431
angles (deg): 90.00 90.00 90.00
With the nearest neighbours (Å) after each atom.
Element x y z (fractional)
Fe (0.0000, 0.0000, 0.0000)  2 Fe 2.42, 2 As 2.44, 4 Re 2.67
Fe (0.0000, 0.5000, 0.2763)  2 Fe 2.42, 4 As 2.60, 4 Re 2.62-2.70
Re (0.5000, 0.5000, 0.7862)  2 As 2.60, 8 Fe 2.62-2.70, 2 Re 2.77
As (0.5000, 0.0000, 0.4417)  6 Fe 2.44-2.60, 2 Re 2.60

---

Compound: FeRe2As
Source: Alexandria
Functional: GGA-PBE
Structure: optimized geometry

a b c (Å): 2.7883 3.9782 5.3171
angles (deg): 90.00 101.85 90.00
With the nearest neighbours (Å) after each atom.
Element x y z (fractional)
Fe (0.0000, 0.0000, 0.0000)  2 As 2.66, 8 Re 2.68-2.80, 2 Fe 2.79
Re (0.3647, 0.5000, 0.7574)  2 As 2.51, 3 Re 2.54-2.79, 4 Fe 2.68-2.80
Re (0.6353, 0.5000, 0.2426)  2 As 2.51, 3 Re 2.54-2.79, 4 Fe 2.68-2.80
As (0.0000, 0.0000, 0.5000)  4 Re 2.51, 2 Fe 2.66, 2 As 2.79

---

Compound: FeReAs2
Source: Alexandria
Functional: GGA-PBE
Structure: optimized geometry

a b c (Å): 2.8739 2.8739 8.0838
angles (deg): 90.00 90.00 90.00
With the nearest neighbours (Å) after each atom.
Element x y z (fractional)
Fe (0.0000, 0.0000, 0.0000)  4 As 2.51, 4 Re 2.59
Re (0.5000, 0.5000, 0.1985)  4 Fe 2.59, 4 As 2.68, 4 Re 2.87
As (0.0000, 0.0000, 0.4148)  4 Re 2.68, 4 As 2.87
As (0.5000, 0.5000, 0.8178)  4 Fe 2.51

---

Compound: Fe2ReAs
Source: Alexandria
Functional: GGA-PBE
Structure: optimized geometry

a b c (Å): 2.7465 2.7465 23.8487
angles (deg): 90.00 90.00 120.00
With the nearest neighbours (Å) after each atom.
Element x y z (fractional)
Fe (0.0000, 0.0000, 0.2465)  3 As 2.48, 3 Re 2.61, 6 Fe 2.75
Fe (0.0000, 0.0000, 0.7535)  3 As 2.48, 3 Re 2.61, 6 Fe 2.75
Fe (0.3333, 0.6667, 0.4202)  3 As 2.48, 3 Re 2.61, 6 Fe 2.75
Fe (0.3333, 0.6667, 0.9132)  3 As 2.48, 3 Re 2.61, 6 Fe 2.75
Fe (0.6667, 0.3333, 0.0868)  3 As 2.48, 3 Re 2.61, 6 Fe 2.75
Fe (0.6667, 0.3333, 0.5798)  3 As 2.48, 3 Re 2.61, 6 Fe 2.75
Re (0.0000, 0.0000, 0.0000)  6 Fe 2.61, 6 Re 2.75
Re (0.3333, 0.6667, 0.6667)  6 Fe 2.61, 6 Re 2.75
Re (0.6667, 0.3333, 0.3333)  6 Fe 2.61, 6 Re 2.75
As (0.0000, 0.0000, 0.5000)  6 Fe 2.48, 6 As 2.75
As (0.3333, 0.6667, 0.1667)  6 Fe 2.48, 6 As 2.75
As (0.6667, 0.3333, 0.8333)  6 Fe 2.48, 6 As 2.75

---

Compound: Fe2ReAs
Source: Alexandria
Functional: GGA-PBE
Structure: optimized geometry

a b c (Å): 8.5451 2.7778 4.3939
angles (deg): 90.00 96.98 90.00
With the nearest neighbours (Å) after each atom.
Element x y z (fractional)
Fe (0.0000, 0.0000, 0.0000)  3 As 2.38-2.64, 2 Re 2.52, 3 Fe 2.62-2.63
Fe (0.2394, 0.5000, 0.2624)  4 As 2.47-2.73, 3 Re 2.52-2.54, 3 Fe 2.62-2.63
Fe (0.5000, 0.5000, 0.0000)  3 As 2.38-2.64, 2 Re 2.52, 3 Fe 2.62-2.63
Fe (0.7394, 0.0000, 0.2624)  4 As 2.47-2.73, 3 Re 2.52-2.54, 3 Fe 2.62-2.63
Re (0.4773, 0.0000, 0.4717)  7 Fe 2.52-2.69, 1 As 2.58, 2 Re 2.78
Re (0.9773, 0.5000, 0.4717)  7 Fe 2.52-2.69, 1 As 2.58, 2 Re 2.78
As (0.2460, 0.0000, 0.7984)  5 Fe 2.38-2.64, 1 Re 2.58
As (0.7460, 0.5000, 0.7984)  5 Fe 2.38-2.64, 1 Re 2.58

---

Compound: Fe2Re2As
Source: Alexandria
Functional: GGA-PBE
Structure: optimized geometry

a b c (Å): 7.2447 7.2447 2.6854
angles (deg): 90.00 90.00 90.00
With the nearest neighbours (Å) after each atom.
Element x y z (fractional)
Fe (0.1258, 0.3742, 0.0000)  6 Re 2.50-2.55, 3 Fe 2.58-2.69
Fe (0.3742, 0.8742, 0.0000)  6 Re 2.50-2.55, 3 Fe 2.58-2.69
Fe (0.6258, 0.1258, 0.0000)  6 Re 2.50-2.55, 3 Fe 2.58-2.69
Fe (0.8742, 0.6258, 0.0000)  6 Re 2.50-2.55, 3 Fe 2.58-2.69
Re (0.1631, 0.6631, 0.5000)  6 Fe 2.50-2.55, 2 Re 2.69, 2 As 2.71
Re (0.3369, 0.1631, 0.5000)  6 Fe 2.50-2.55, 2 Re 2.69, 2 As 2.71
Re (0.6631, 0.8369, 0.5000)  6 Fe 2.50-2.55, 2 Re 2.69, 2 As 2.71
Re (0.8369, 0.3369, 0.5000)  6 Fe 2.50-2.55, 2 Re 2.69, 2 As 2.71
As (0.0000, 0.0000, 0.5000)  2 As 2.69, 4 Re 2.71
As (0.5000, 0.5000, 0.5000)  2 As 2.69, 4 Re 2.71

---

Compound: Fe2ReAs
Source: Alexandria
Functional: GGA-PBE
Structure: optimized geometry

a b c (Å): 5.3158 5.3158 10.1813
angles (deg): 90.00 90.00 90.00
With the nearest neighbours (Å) after each atom.
Element x y z (fractional)
Fe (0.2483, 0.2500, 0.1250)  2 As 2.26, 2 Re 2.28
Fe (0.2500, 0.7483, 0.3750)  2 As 2.26, 2 Re 2.28
Fe (0.2500, 0.7517, 0.8750)  2 As 2.26, 2 Re 2.28
Fe (0.2517, 0.2500, 0.6250)  2 As 2.26, 2 Re 2.28
Fe (0.7483, 0.7500, 0.6250)  2 As 2.26, 2 Re 2.28
Fe (0.7500, 0.2483, 0.8750)  2 As 2.26, 2 Re 2.28
Fe (0.7500, 0.2517, 0.3750)  2 As 2.26, 2 Re 2.28
Fe (0.7517, 0.7500, 0.1250)  2 As 2.26, 2 Re 2.28
Re (0.0000, 0.0000, 0.5000)  4 Fe 2.28
Re (0.0000, 0.5000, 0.7500)  4 Fe 2.28
Re (0.5000, 0.0000, 0.2500)  4 Fe 2.28
Re (0.5000, 0.5000, 0.0000)  4 Fe 2.28
As (0.0000, 0.0000, 0.0000)  4 Fe 2.26
As (0.0000, 0.5000, 0.2500)  4 Fe 2.26
As (0.5000, 0.0000, 0.7500)  4 Fe 2.26
As (0.5000, 0.5000, 0.5000)  4 Fe 2.26

---

Compound: FeReAs2
Source: Alexandria
Functional: GGA-PBE
Structure: optimized geometry

a b c (Å): 6.0612 6.0612 6.0612
angles (deg): 90.00 90.00 90.00
With the nearest neighbours (Å) after each atom.
Element x y z (fractional)
Fe (0.0000, 0.0000, 0.0000)  8 As 2.62
Fe (0.0000, 0.5000, 0.5000)  8 As 2.62
Fe (0.5000, 0.0000, 0.5000)  8 As 2.62
Fe (0.5000, 0.5000, 0.0000)  8 As 2.62
Re (0.0000, 0.0000, 0.5000)  8 As 2.62
Re (0.0000, 0.5000, 0.0000)  8 As 2.62
Re (0.5000, 0.0000, 0.0000)  8 As 2.62
Re (0.5000, 0.5000, 0.5000)  8 As 2.62
As (0.2500, 0.2500, 0.2500)  4 Re 2.62, 4 Fe 2.62
As (0.2500, 0.2500, 0.7500)  4 Fe 2.62, 4 Re 2.62
As (0.2500, 0.7500, 0.2500)  4 Fe 2.62, 4 Re 2.62
As (0.2500, 0.7500, 0.7500)  4 Fe 2.62, 4 Re 2.62
As (0.7500, 0.2500, 0.2500)  4 Fe 2.62, 4 Re 2.62
As (0.7500, 0.2500, 0.7500)  4 Fe 2.62, 4 Re 2.62
As (0.7500, 0.7500, 0.2500)  4 Re 2.62, 4 Fe 2.62
As (0.7500, 0.7500, 0.7500)  4 Fe 2.62, 4 Re 2.62

---

Compound: Fe2Re2As
Source: Alexandria
Functional: GGA-PBE
Structure: optimized geometry

a b c (Å): 3.1995 3.1995 13.6375
angles (deg): 90.00 90.00 90.00
With the nearest neighbours (Å) after each atom.
Element x y z (fractional)
Fe (0.0000, 0.5000, 0.2500)  4 Fe 2.26
Fe (0.0000, 0.5000, 0.7500)  4 Fe 2.26
Fe (0.5000, 0.0000, 0.2500)  4 Fe 2.26
Fe (0.5000, 0.0000, 0.7500)  4 Fe 2.26
Re (0.0000, 0.0000, 0.1049)  4 Fe 2.54, 4 As 2.68
Re (0.0000, 0.0000, 0.8951)  4 Fe 2.54, 4 As 2.68
Re (0.5000, 0.5000, 0.3951)  4 Fe 2.54, 4 As 2.68
Re (0.5000, 0.5000, 0.6049)  4 Fe 2.54, 4 As 2.68
As (0.0000, 0.0000, 0.5000)  8 Re 2.68
As (0.5000, 0.5000, 0.0000)  8 Re 2.68

---

Compound: FeReAs2
Source: Alexandria
Functional: GGA-PBE
Structure: optimized geometry

a b c (Å): 3.0882 3.9887 4.9462
angles (deg): 90.00 90.00 90.00
With the nearest neighbours (Å) after each atom.
Element x y z (fractional)
Fe (0.0000, 0.0000, 0.0000)  4 As 2.52
Re (0.5000, 0.0000, 0.5000)  4 As 2.52
As (0.0000, 0.5000, 0.5000)  4 Re 2.52
As (0.5000, 0.5000, 0.0000)  4 Fe 2.52

---

Compound: FeRe2As
Source: Alexandria
Functional: GGA-PBE
Structure: optimized geometry

a b c (Å): 3.0185 4.3394 4.3904
angles (deg): 90.00 90.00 90.00
With the nearest neighbours (Å) after each atom.
Element x y z (fractional)
Fe (0.0000, 0.0000, 0.0000)  4 Re 2.64, 4 As 2.66
Re (0.0000, 0.5000, 0.5000)  4 As 2.64, 4 Re 2.66
Re (0.5000, 0.5000, 0.0000)  4 Fe 2.64, 4 Re 2.66
As (0.5000, 0.0000, 0.5000)  4 Re 2.64, 4 Fe 2.66

---

Compound: FeReAs2
Source: Alexandria
Functional: GGA-PBE
Structure: optimized geometry

a b c (Å): 2.9069 2.9069 29.9538
angles (deg): 90.00 90.00 120.00
With the nearest neighbours (Å) after each atom.
Element x y z (fractional)
Fe (0.0000, 0.0000, 0.0000)  3 As 2.47, 3 Re 2.66
Fe (0.3333, 0.6667, 0.6667)  3 As 2.47, 3 Re 2.66
Fe (0.6667, 0.3333, 0.3333)  3 As 2.47, 3 Re 2.66
Re (0.0000, 0.0000, 0.7354)  3 As 2.56, 3 Fe 2.66
Re (0.3333, 0.6667, 0.4021)  3 As 2.56, 3 Fe 2.66
Re (0.6667, 0.3333, 0.0688)  3 As 2.56, 3 Fe 2.66
As (0.0000, 0.0000, 0.2727)  3 Fe 2.47
As (0.0000, 0.0000, 0.4668)  3 Re 2.56
As (0.3333, 0.6667, 0.1335)  3 Re 2.56
As (0.3333, 0.6667, 0.9394)  3 Fe 2.47
As (0.6667, 0.3333, 0.6061)  3 Fe 2.47
As (0.6667, 0.3333, 0.8002)  3 Re 2.56

---

Compound: FeRe2As
Source: Alexandria
Functional: GGA-PBE
Structure: optimized geometry

a b c (Å): 8.9411 2.8688 4.5311
angles (deg): 90.00 109.01 90.00
With the nearest neighbours (Å) after each atom.
Element x y z (fractional)
Fe (0.0000, 0.0000, 0.0000)  7 Re 2.50-2.75, 2 As 2.52
Fe (0.5000, 0.5000, 0.0000)  7 Re 2.50-2.75, 2 As 2.52
Re (0.2584, 0.0000, 0.8674)  3 Fe 2.50-2.57, 4 As 2.60-2.80
Re (0.4804, 0.0000, 0.5052)  3 As 2.58-2.60, 4 Fe 2.62-2.75, 4 Re 2.87-2.88
Re (0.7584, 0.5000, 0.8674)  3 Fe 2.50-2.57, 4 As 2.60-2.80
Re (0.9804, 0.5000, 0.5052)  3 As 2.58-2.60, 4 Fe 2.62-2.75, 4 Re 2.87-2.88
As (0.2265, 0.5000, 0.3206)  2 Fe 2.52, 7 Re 2.58-2.80
As (0.7265, 0.0000, 0.3206)  2 Fe 2.52, 7 Re 2.58-2.80

---

Compound: Fe2ReAs
Source: Alexandria
Functional: GGA-PBE
Structure: optimized geometry

a b c (Å): 5.9146 5.9146 5.9146
angles (deg): 90.00 90.00 90.00
With the nearest neighbours (Å) after each atom.
Element x y z (fractional)
Fe (0.2500, 0.2500, 0.2500)  4 As 2.56, 4 Re 2.56
Fe (0.2500, 0.2500, 0.7500)  4 As 2.56, 4 Re 2.56
Fe (0.2500, 0.7500, 0.2500)  4 As 2.56, 4 Re 2.56
Fe (0.2500, 0.7500, 0.7500)  4 As 2.56, 4 Re 2.56
Fe (0.7500, 0.2500, 0.2500)  4 As 2.56, 4 Re 2.56
Fe (0.7500, 0.2500, 0.7500)  4 As 2.56, 4 Re 2.56
Fe (0.7500, 0.7500, 0.2500)  4 As 2.56, 4 Re 2.56
Fe (0.7500, 0.7500, 0.7500)  4 As 2.56, 4 Re 2.56
Re (0.0000, 0.0000, 0.0000)  8 Fe 2.56
Re (0.0000, 0.5000, 0.5000)  8 Fe 2.56
Re (0.5000, 0.0000, 0.5000)  8 Fe 2.56
Re (0.5000, 0.5000, 0.0000)  8 Fe 2.56
As (0.0000, 0.0000, 0.5000)  8 Fe 2.56
As (0.0000, 0.5000, 0.0000)  8 Fe 2.56
As (0.5000, 0.0000, 0.0000)  8 Fe 2.56
As (0.5000, 0.5000, 0.5000)  8 Fe 2.56

---

Compound: FeRe2As
Source: Alexandria
Functional: GGA-PBE
Structure: optimized geometry

a b c (Å): 2.9631 4.3255 8.5253
angles (deg): 90.00 90.00 90.00
With the nearest neighbours (Å) after each atom.
Element x y z (fractional)
Fe (0.0000, 0.0000, 0.0000)  2 As 2.35
Fe (0.5000, 0.5000, 0.5000)  2 As 2.35
Re (0.0000, 0.0000, 0.4558)  2 As 2.54, 4 Fe 2.65, 2 Re 2.79
Re (0.0000, 0.5000, 0.2325)  4 As 2.63, 4 Fe 2.72-2.93, 4 Re 2.79-2.88
Re (0.5000, 0.0000, 0.7325)  4 As 2.63, 4 Fe 2.72-2.93, 4 Re 2.79-2.88
Re (0.5000, 0.5000, 0.9558)  2 As 2.54, 4 Fe 2.65, 2 Re 2.79
As (0.0000, 0.5000, 0.7132)  2 Fe 2.35, 2 Re 2.54
As (0.5000, 0.0000, 0.2132)  2 Fe 2.35, 2 Re 2.54

---

Compound: FeReAs2
Source: Alexandria
Functional: GGA-PBE
Structure: optimized geometry

a b c (Å): 3.1724 3.2385 11.9054
angles (deg): 90.00 90.00 90.00
With the nearest neighbours (Å) after each atom.
Element x y z (fractional)
Fe (0.0000, 0.0000, 0.0000)  6 As 2.46-2.47
Fe (0.5000, 0.5000, 0.5000)  6 As 2.46-2.47
Re (0.0000, 0.5000, 0.7516)  6 As 2.54
Re (0.5000, 0.0000, 0.2516)  6 As 2.54
As (0.0000, 0.0000, 0.4181)  4 Fe 2.47, 2 Re 2.54
As (0.0000, 0.5000, 0.1559)  2 Fe 2.46, 4 Re 2.54
As (0.5000, 0.0000, 0.6559)  2 Fe 2.46, 4 Re 2.54
As (0.5000, 0.5000, 0.9181)  4 Fe 2.47, 2 Re 2.54

---

Compound: FeReAs2
Source: Alexandria
Functional: GGA-PBE
Structure: optimized geometry

a b c (Å): 3.0455 5.0551 8.0026
angles (deg): 90.00 90.00 90.00
With the nearest neighbours (Å) after each atom.
Element x y z (fractional)
Fe (0.0000, 0.0000, 0.0000)  4 As 2.47
Fe (0.5000, 0.5000, 0.0000)  4 As 2.47
Re (0.0000, 0.0000, 0.5000)  4 As 2.56
Re (0.5000, 0.5000, 0.5000)  4 As 2.56
As (0.0000, 0.5000, 0.2434)  2 Fe 2.47, 2 Re 2.56
As (0.0000, 0.5000, 0.7566)  2 Fe 2.47, 2 Re 2.56
As (0.5000, 0.0000, 0.2434)  2 Fe 2.47, 2 Re 2.56
As (0.5000, 0.0000, 0.7566)  2 Fe 2.47, 2 Re 2.56

---

Number 1: energy above the most stable polymorph in this dataset 127 meV/atom. Number 2: energy above the most stable polymorph in this dataset 167 meV/atom. Number 3: energy above the most stable polymorph in this dataset 0 meV/atom. Number 4: energy above the most stable polymorph in this dataset 34 meV/atom. Number 5: energy above the most stable polymorph in this dataset 194 meV/atom. Number 6: energy above the most stable polymorph in this dataset 0 meV/atom. Number 7: energy above the most stable polymorph in this dataset 64 meV/atom. Number 8: energy above the most stable polymorph in this dataset 79 meV/atom. Number 9: energy above the most stable polymorph in this dataset 0 meV/atom. Number 10: energy above the most stable polymorph in this dataset 716 meV/atom. Number 11: energy above the most stable polymorph in this dataset 158 meV/atom. Number 12: energy above the most stable polymorph in this dataset 26 meV/atom. Number 13: energy above the most stable polymorph in this dataset 456 meV/atom. Number 14: energy above the most stable polymorph in this dataset 248 meV/atom. Number 15: energy above the most stable polymorph in this dataset 74 meV/atom. Number 16: energy above the most stable polymorph in this dataset 59 meV/atom. Number 17: energy above the most stable polymorph in this dataset 253 meV/atom. Number 18: energy above the most stable polymorph in this dataset 36 meV/atom. Number 19: energy above the most stable polymorph in this dataset 76 meV/atom. Number 20: energy above the most stable polymorph in this dataset 434 meV/atom.